Compound: AlCrIn2Se6
Source: Alexandria
Functional: PBE-GGA
Structure: optimized geometry

a b c (Å): 8.659 8.659 6.764
angles (deg): 96.77 96.77 84.56
Sites, in units of the cell vectors:
Al (0.249, 0.751, 0.750)
Al (0.751, 0.249, 0.250)
Cr (0.084, 0.916, 0.250)
Cr (0.916, 0.084, 0.750)
In (0.224, 0.419, 0.209)
In (0.419, 0.224, 0.709)
In (0.581, 0.776, 0.291)
In (0.776, 0.581, 0.791)
Se (0.021, 0.187, 0.112)
Se (0.103, 0.663, 0.414)
Se (0.187, 0.021, 0.612)
Se (0.255, 0.473, 0.848)
Se (0.337, 0.897, 0.086)
Se (0.473, 0.255, 0.348)
Se (0.527, 0.745, 0.652)
Se (0.663, 0.103, 0.914)
Se (0.745, 0.527, 0.152)
Se (0.813, 0.979, 0.388)
Se (0.897, 0.337, 0.586)
Se (0.979, 0.813, 0.888)

Output
Formation energy without anion corrections in eV per atom: -0.54